Record 1
# Na2TeAuSe4, optimized geometry, DFT PBE-GGA
# SG: No. 15
data_Na2TeAuSe4
_space_group_name_H-M_alt 'P 1'
_space_group_IT_number 1
_space_group_name_Hall 'P 1'
_cell_length_a 7.770
_cell_length_b 7.770
_cell_length_c 7.863
_cell_angle_alpha 107.18
_cell_angle_beta 107.18
_cell_angle_gamma 90.09
loop_
_atom_site_label
_atom_site_fract_x
_atom_site_fract_y
_atom_site_fract_z
Na1 0.000 0.000 0.000
Na2 0.000 0.000 0.500
Na3 0.000 0.500 0.000
Na4 0.500 0.000 0.500
Te1 0.500 0.500 0.000
Te2 0.500 0.500 0.500
Au1 0.000 0.500 0.500
Au2 0.500 0.000 0.000
Se1 0.194 0.254 0.395
Se2 0.199 0.694 0.405
Se3 0.254 0.194 0.895
Se4 0.306 0.801 0.095
Se5 0.694 0.199 0.905
Se6 0.746 0.806 0.105
Se7 0.801 0.306 0.595
Se8 0.806 0.746 0.605

***

Record 2
# Na4Th3AuSe8, optimized geometry, DFT PBE-GGA
# SG: No. 12
data_Na4Th3AuSe8
_space_group_name_H-M_alt 'P 1'
_space_group_IT_number 1
_space_group_name_Hall 'P 1'
_cell_length_a 8.498
_cell_length_b 8.498
_cell_length_c 8.570
_cell_angle_alpha 119.93
_cell_angle_beta 119.93
_cell_angle_gamma 59.07
loop_
_atom_site_label
_atom_site_fract_x
_atom_site_fract_y
_atom_site_fract_z
Na1 0.000 0.000 0.000
Na2 0.000 0.500 0.000
Na3 0.500 0.000 0.000
Na4 0.500 0.500 0.000
Th1 0.000 0.000 0.500
Th2 0.000 0.500 0.500
Th3 0.500 0.000 0.500
Au1 0.500 0.500 0.500
Se1 0.242 0.742 0.731
Se2 0.246 0.246 0.259
Se3 0.246 0.246 0.742
Se4 0.258 0.758 0.269
Se5 0.742 0.242 0.731
Se6 0.754 0.754 0.258
Se7 0.754 0.754 0.741
Se8 0.758 0.258 0.269

***

Record 3
# NaThAuSe3, optimized geometry, DFT PBE-GGA
# SG: No. 11
data_NaThAuSe3
_space_group_name_H-M_alt 'P 1'
_space_group_IT_number 1
_space_group_name_Hall 'P 1'
_cell_length_a 8.127
_cell_length_b 4.241
_cell_length_c 9.831
_cell_angle_alpha 90.00
_cell_angle_beta 104.38
_cell_angle_gamma 90.00
loop_
_atom_site_label
_atom_site_fract_x
_atom_site_fract_y
_atom_site_fract_z
Na1 0.227 0.250 0.279
Na2 0.773 0.750 0.721
Th1 0.309 0.750 0.827
Th2 0.691 0.250 0.173
Au1 0.113 0.250 0.582
Au2 0.887 0.750 0.418
Se1 0.068 0.250 0.842
Se2 0.285 0.750 0.528
Se3 0.428 0.750 0.142
Se4 0.572 0.250 0.858
Se5 0.715 0.250 0.472
Se6 0.932 0.750 0.158

***

Ordered VASP energy results: -3.24, -4.98, -4.92; unit eV/atom.